# 1
VASP calculation (PBE) on a relaxed structure of MoIr2Rh.

Values from the calculation:
VASP energy: -9.141 eV/atom
Excess energy over the best structure of this formula in the dataset: 0.081 eV/atom
Energy of formation from the pure elements: -0.164 eV per atom
V: 14.7 Å³/atom
Total magnetization: 0.00 Bohr magnetons per cell

a b c (Å): 2.7326 3.9244 5.4789
angles (deg): 90.00 90.00 90.00
With the nearest neighbours (Å) after each atom.
Space group Pmm2 (No. 25)
Inequivalent atoms, fractional coordinates:
Mo 0.0000 0.0000 0.0000 x1  2 Mo 2.73, 6 Ir 2.74-2.76, 4 Rh 2.76
Ir 0.0000 0.0000 0.4999 x1  6 Ir 2.73-2.75, 2 Mo 2.74, 4 Rh 2.75
Ir 0.5000 0.5000 0.7492 x1  2 Rh 2.72-2.76, 6 Ir 2.73-2.75, 4 Mo 2.76
Rh 0.5000 0.5000 0.2529 x1  6 Ir 2.72-2.76, 2 Rh 2.73, 4 Mo 2.76


# 2
VASP calculation (PBE) on a relaxed structure of TlGaSb2.

Values from the calculation:
VASP energy: -3.309 eV/atom
ΔE_f (raw): 0.100 eV per atom
Excess energy over the best structure of this formula in the dataset: 0.110 eV/atom
V: 27.9 Å³/atom
Total magnetization: 0.00 Bohr magnetons per cell

a b c (Å): 6.9907 3.9289 8.5240
angles (deg): 90.00 107.64 90.00
With the nearest neighbours (Å) after each atom.
Space group Cm (No. 8)
Inequivalent atoms, fractional coordinates:
Tl 0.0000 0.0000 0.0000 x2  6 Sb 3.26-3.36
Ga 0.3262 0.5000 0.4988 x2  6 Sb 2.82-2.86
Sb 0.2293 0.0000 0.7057 x2  3 Ga 2.84-2.86
Sb 0.4254 0.0000 0.2944 x2  3 Ga 2.82-2.85